*i*
Material: Ce2Th3In
Method: DFT, PBE
State: optimized geometry Values from VASP.

Structure (Quantum ESPRESSO input):
```
&SYSTEM
  ibrav = 0, nat = 12, ntyp = 3
/
ATOMIC_SPECIES
Ce 140.12 Ce.upf
Th 232.04 Th.upf
In 114.82 In.upf
ATOMIC_POSITIONS angstrom
Ce -8.337 1.315 2.448
Ce -5.959 -0.083 2.270
Th -9.026 -0.668 -0.318
Th -6.208 1.619 -0.686
In -3.621 2.120 1.862
Ce -7.527 -0.469 -3.257
Th -5.270 1.900 5.035
Ce -6.769 1.701 7.974
Th -8.087 -0.387 5.403
In -10.675 -0.888 2.855
Th -2.842 0.391 -0.955
Th -11.453 0.841 5.672
CELL_PARAMETERS angstrom
-0.607 3.505 -0.073
-7.057 -1.321 -4.733
-6.632 -0.952 9.523
```

Output
Symmetry: P2_1/m
M_tot: 0.51 μB per formula unit

***

*ii*
Material: Ce2Th3In
Method: DFT, PBE
State: optimized geometry Values from VASP.

Structure (Quantum ESPRESSO input):
```
&SYSTEM
  ibrav = 0, nat = 12, ntyp = 3
/
ATOMIC_SPECIES
In 114.82 In.upf
Th 232.04 Th.upf
Ce 140.12 Ce.upf
ATOMIC_POSITIONS angstrom
In 0.853 5.819 1.021
Th 0.853 2.692 -0.482
Th 0.853 3.018 2.941
Th 2.559 6.195 10.884
Ce 2.559 0.304 1.577
In 2.559 3.067 9.382
Ce 0.853 8.583 8.826
Th 0.853 8.416 5.605
Th 2.559 0.471 4.798
Ce 0.853 3.200 6.371
Th 2.559 5.869 7.461
Ce 2.559 5.687 4.032
CELL_PARAMETERS angstrom
3.412 0.000 0.000
0.000 8.027 -2.377
0.000 0.860 12.779
```

Output
Symmetry: P2_1/m
M_tot: 0.03 μB per formula unit

***

Least stable of them? *ii*.

***

*i*
Material: Ce2ThIn2
Method: DFT, PBE
State: optimized geometry Values from VASP.

Structure (Quantum ESPRESSO input):
```
&SYSTEM
  ibrav = 0, nat = 5, ntyp = 3
/
ATOMIC_SPECIES
Th 232.04 Th.upf
Ce 140.12 Ce.upf
In 114.82 In.upf
ATOMIC_POSITIONS angstrom
Th 0.000 0.000 0.000
Ce 1.817 0.122 3.399
Ce 0.000 3.432 3.980
In 0.000 0.906 6.025
In 1.817 2.648 1.355
CELL_PARAMETERS angstrom
3.633 0.000 0.000
0.000 5.218 -0.165
-1.817 -1.664 7.545
```

Output
Symmetry: C2/m
M_tot: 0.44 μB per formula unit

***

*ii*
Material: Ce2ThIn2
Method: DFT, PBE
State: optimized geometry Values from VASP.

Structure (Quantum ESPRESSO input):
```
&SYSTEM
  ibrav = 0, nat = 10, ntyp = 3
/
ATOMIC_SPECIES
In 114.82 In.upf
Ce 140.12 Ce.upf
Th 232.04 Th.upf
ATOMIC_POSITIONS angstrom
In 0.911 3.258 9.339
Ce -3.083 0.382 4.694
Ce 2.003 0.701 3.118
Th 0.000 0.000 0.000
In -0.858 2.086 2.994
Th 0.210 1.012 6.422
Ce -1.584 1.322 9.726
Ce 3.503 1.641 8.150
In 3.233 2.882 5.234
In -3.179 2.462 7.099
CELL_PARAMETERS angstrom
-0.366 3.321 -0.511
-6.253 0.347 6.738
6.673 1.676 6.106
```

Output
Symmetry: P4/mbm
M_tot: 1.05 μB per formula unit

***

Least stable of them? *ii*.

***

*i*
Material: CeTh2In
Method: DFT, PBE
State: optimized geometry Values from VASP.

Structure (Quantum ESPRESSO input):
```
&SYSTEM
  ibrav = 0, nat = 4, ntyp = 3
/
ATOMIC_SPECIES
Ce 140.12 Ce.upf
Th 232.04 Th.upf
In 114.82 In.upf
ATOMIC_POSITIONS angstrom
Ce 0.000 0.000 0.000
Th -2.631 -1.338 -1.618
In -5.262 -2.676 -3.236
Th -7.893 -4.014 -4.853
CELL_PARAMETERS angstrom
-2.369 -0.693 -4.911
-2.675 -4.668 -1.127
-5.479 0.008 -0.434
```

Output
Symmetry: Fm-3m
M_tot: 1.04 μB per formula unit

***

*ii*
Material: CeTh2In
Method: DFT, PBE
State: optimized geometry Values from VASP.

Structure (Quantum ESPRESSO input):
```
&SYSTEM
  ibrav = 0, nat = 4, ntyp = 3
/
ATOMIC_SPECIES
In 114.82 In.upf
Ce 140.12 Ce.upf
Th 232.04 Th.upf
ATOMIC_POSITIONS angstrom
In -1.880 -0.869 -2.042
Ce -2.383 -3.866 -0.304
Th -0.243 -1.447 0.839
Th -0.762 -4.546 2.637
CELL_PARAMETERS angstrom
-4.060 0.358 -0.557
0.299 -2.096 -3.527
-1.005 -5.993 3.477
```

Output
Symmetry: P4/mmm
M_tot: 0.00 μB per formula unit

***

Least stable of them? *i*.

***

*i*
Material: CeTh2In
Method: DFT, PBE
State: optimized geometry Values from VASP.

Structure (Quantum ESPRESSO input):
```
&SYSTEM
  ibrav = 0, nat = 4, ntyp = 3
/
ATOMIC_SPECIES
Th 232.04 Th.upf
Ce 140.12 Ce.upf
In 114.82 In.upf
ATOMIC_POSITIONS angstrom
Th 0.000 2.472 0.000
Ce 2.412 2.472 2.472
Th 0.000 0.000 2.472
In 2.412 0.000 0.000
CELL_PARAMETERS angstrom
4.824 0.000 0.000
0.000 4.944 0.000
0.000 0.000 4.944
```

Output
Symmetry: P4/mmm
M_tot: 0.61 μB per formula unit

***

*ii*
Material: CeTh2In
Method: DFT, PBE
State: optimized geometry Values from VASP.

Structure (Quantum ESPRESSO input):
```
&SYSTEM
  ibrav = 0, nat = 4, ntyp = 3
/
ATOMIC_SPECIES
In 114.82 In.upf
Th 232.04 Th.upf
Ce 140.12 Ce.upf
ATOMIC_POSITIONS angstrom
In 4.242 2.449 3.872
Th 2.121 1.225 6.055
Th 2.121 1.225 1.691
Ce 4.242 2.449 0.151
CELL_PARAMETERS angstrom
4.242 0.000 0.000
2.121 3.674 0.000
2.121 1.225 7.846
```

Output
Symmetry: R3m
M_tot: 0.00 μB per formula unit

***

Least stable of them? *ii*.

***

*i*
Material: Ce3Th2In2
Method: DFT, PBE
State: optimized geometry Values from VASP.

Structure (Quantum ESPRESSO input):
```
&SYSTEM
  ibrav = 0, nat = 7, ntyp = 3
/
ATOMIC_SPECIES
Th 232.04 Th.upf
In 114.82 In.upf
Ce 140.12 Ce.upf
ATOMIC_POSITIONS angstrom
Th 1.029 -4.054 4.185
In -1.782 -5.411 2.431
Th -2.608 -4.794 -0.807
Ce -2.718 -1.795 0.903
Ce 0.000 0.000 0.000
Ce 1.139 -7.053 2.475
In 0.203 -3.438 0.947
CELL_PARAMETERS angstrom
-2.294 0.723 3.117
-3.295 -3.846 -4.019
4.010 -5.726 4.281
```

Output
Symmetry: C2/m
M_tot: 0.22 μB per formula unit

***

*ii*
Material: Ce3Th2In2
Method: DFT, PBE
State: optimized geometry Values from VASP.

Structure (Quantum ESPRESSO input):
```
&SYSTEM
  ibrav = 0, nat = 7, ntyp = 3
/
ATOMIC_SPECIES
Ce 140.12 Ce.upf
In 114.82 In.upf
Th 232.04 Th.upf
ATOMIC_POSITIONS angstrom
Ce 1.433 -1.737 2.607
Ce 6.718 1.500 2.047
Ce 0.000 0.000 0.000
In 4.023 2.432 3.852
In 4.128 -2.669 0.803
Th 3.292 0.662 0.994
Th 4.858 -0.899 3.661
CELL_PARAMETERS angstrom
-1.231 -0.564 4.451
3.508 -4.369 -2.015
5.873 4.697 2.219
```

Output
Symmetry: C2/m
M_tot: 2.00 μB per formula unit

***

Least stable of them? *i*.

***

*i*
Material: Ce4ThIn3
Method: DFT, PBE
State: optimized geometry Values from VASP.

Structure (Quantum ESPRESSO input):
```
&SYSTEM
  ibrav = 0, nat = 8, ntyp = 3
/
ATOMIC_SPECIES
Ce 140.12 Ce.upf
Th 232.04 Th.upf
In 114.82 In.upf
ATOMIC_POSITIONS angstrom
Ce 2.597 0.216 3.813
Th 2.597 0.000 0.000
Ce 2.597 3.315 1.573
In 2.597 3.235 4.884
In 0.000 -0.238 1.991
Ce 0.000 -0.318 5.303
In 0.000 2.849 -0.513
Ce 0.000 2.781 3.063
CELL_PARAMETERS angstrom
5.193 0.000 0.000
0.000 5.698 -1.026
-2.597 -2.701 7.901
```

Output
Symmetry: C2/m
M_tot: 1.95 μB per formula unit

***

*ii*
Material: Ce4ThIn3
Method: DFT, PBE
State: optimized geometry Values from VASP.

Structure (Quantum ESPRESSO input):
```
&SYSTEM
  ibrav = 0, nat = 8, ntyp = 3
/
ATOMIC_SPECIES
In 114.82 In.upf
Ce 140.12 Ce.upf
Th 232.04 Th.upf
ATOMIC_POSITIONS angstrom
In 2.070 2.070 9.870
In 2.070 2.070 3.406
Ce 0.000 0.000 8.252
Th 2.070 2.070 0.000
Ce 0.000 0.000 5.024
In 2.070 2.070 6.638
Ce 0.000 0.000 11.373
Ce 0.000 0.000 1.903
CELL_PARAMETERS angstrom
4.139 0.000 0.000
0.000 4.139 0.000
0.000 0.000 13.276
```

Output
Symmetry: P4/mmm
M_tot: 3.99 μB per formula unit

***

Least stable of them? *i*.

***

*i*
Material: Ce2ThIn
Method: DFT, PBE
State: optimized geometry Values from VASP.

Structure (Quantum ESPRESSO input):
```
&SYSTEM
  ibrav = 0, nat = 4, ntyp = 3
/
ATOMIC_SPECIES
Ce 140.12 Ce.upf
In 114.82 In.upf
Th 232.04 Th.upf
ATOMIC_POSITIONS angstrom
Ce 0.000 0.000 2.292
Ce 0.000 0.000 7.165
In 1.743 1.743 0.000
Th 1.743 1.743 4.728
CELL_PARAMETERS angstrom
3.485 0.000 0.000
0.000 3.485 0.000
0.000 0.000 9.457
```

Output
Symmetry: P4/mmm
M_tot: 0.81 μB per formula unit

***

*ii*
Material: Ce2ThIn
Method: DFT, PBE
State: optimized geometry Values from VASP.

Structure (Quantum ESPRESSO input):
```
&SYSTEM
  ibrav = 0, nat = 4, ntyp = 3
/
ATOMIC_SPECIES
Th 232.04 Th.upf
In 114.82 In.upf
Ce 140.12 Ce.upf
ATOMIC_POSITIONS angstrom
Th 0.000 0.000 0.000
In 5.464 3.155 2.231
Ce 2.732 1.577 1.115
Ce 8.196 4.732 3.346
CELL_PARAMETERS angstrom
5.464 0.000 0.000
2.732 4.732 0.000
2.732 1.577 4.462
```

Output
Symmetry: Fm-3m
M_tot: 2.00 μB per formula unit

***

Least stable of them? *ii*.

***

*i*
Material: Ce2ThIn
Method: DFT, PBE
State: optimized geometry Values from VASP.

Structure (Quantum ESPRESSO input):
```
&SYSTEM
  ibrav = 0, nat = 4, ntyp = 3
/
ATOMIC_SPECIES
In 114.82 In.upf
Ce 140.12 Ce.upf
Th 232.04 Th.upf
ATOMIC_POSITIONS angstrom
In 1.156 -3.807 0.058
Ce 2.372 -1.331 1.999
Ce 6.176 -0.117 6.178
Th 4.851 -2.628 4.116
CELL_PARAMETERS angstrom
-0.332 -3.201 1.232
2.062 -2.510 -1.149
7.973 0.456 8.151
```

Output
Symmetry: R3m
M_tot: 0.78 μB per formula unit

***

*ii*
Material: Ce2ThIn
Method: DFT, PBE
State: optimized geometry Values from VASP.

Structure (Quantum ESPRESSO input):
```
&SYSTEM
  ibrav = 0, nat = 8, ntyp = 3
/
ATOMIC_SPECIES
Ce 140.12 Ce.upf
Th 232.04 Th.upf
In 114.82 In.upf
ATOMIC_POSITIONS angstrom
Ce 3.354 -6.833 7.181
Ce -2.056 -0.207 2.264
Th -2.512 -3.494 4.451
Th 1.126 -4.212 5.541
Ce 0.669 -7.499 7.727
In 0.204 -2.567 2.877
In -1.591 -5.139 7.114
Ce -4.741 -0.873 2.810
CELL_PARAMETERS angstrom
-3.032 2.217 2.535
-2.986 -3.085 -0.873
4.631 -6.838 8.329
```

Output
Symmetry: P2_1/m
M_tot: 0.00 μB per formula unit

***

Least stable of them? *i*.